# AgSbSeBr2 GGA-PBE optimized geometry
data_AgSbSeBr2
_chemical_formula_sum 'Ag1 Sb1 Se1 Br2'
_space_group_name_H-M_alt 'P 4/m m m'
_space_group_IT_number 123
_space_group_name_Hall '-P 4 2'
_cell_length_a 5.5847
_cell_length_b 5.5847
_cell_length_c 5.4127
_cell_angle_alpha 90.00
_cell_angle_beta 90.00
_cell_angle_gamma 90.00
loop_
_atom_site_label
_atom_site_type_symbol
_atom_site_fract_x
_atom_site_fract_y
_atom_site_fract_z
Ag1 Ag 0.0000 0.0000 0.0000
Sb1 Sb 0.5000 0.5000 0.5000
Se1 Se 0.5000 0.5000 0.0000
Br1 Br 0.0000 0.5000 0.5000
# E_tot	-2.674	eV/atom
# E_form (uncorrected)	0.09	eV/atom
# total moment	0.00	μB per cell